VASP calculation (GGA-PBEsol) on a relaxed IrCl crystal.

## Properties
crystal system: cubic
energy relative to the elements, uncorrected: 1.363 eV per atom
distance to the lowest polymorph of the same formula: 887.8 meV per atom
E_tot: -0.16730 hartree per atom
density of states at the Fermi level: 2.840 states/eV per cell

Cell and atoms, written as POSCAR:
```
IrCl
1.0
3.087 0.000 0.000
0.000 3.087 0.000
0.000 0.000 3.087
Ir Cl
1 1
direct
0.000 0.000 0.000
0.500 0.500 0.500
```

---

VASP calculation (GGA-PBEsol) on a relaxed MgInSb2 crystal.

## Properties
crystal system: orthorhombic
energy relative to the elements, uncorrected: -0.023 eV per atom
distance to the lowest polymorph of the same formula: 101.1 meV per atom
E_tot: -0.12777 hartree per atom
density of states at the Fermi level: 1.728 states/eV per cell

Cell and atoms, written as POSCAR:
```
MgInSb2
1.0
4.230 0.000 0.000
0.000 4.730 0.000
0.000 0.000 5.024
Mg In Sb
1 1 2
direct
0.000 0.000 0.000
0.500 0.000 0.500
0.000 0.500 0.500
0.500 0.500 0.000
```